(1)
DFT (PBE) results for a geometry-optimized LaTa4Te structure.

spin magnetization: 0.00 Bohr magnetons per cell
energy relative to the elements, uncorrected: 0.418 eV per atom

Cell lengths 8.1401, 8.1401, 8.1401 Å; angles 90.00, 90.00, 90.00 degrees
Space group F-43m (No. 216)
Inequivalent atoms, fractional coordinates:
La  0.0000  0.0000  0.0000 (multiplicity 4)
Ta  0.1290  0.1290  0.6290 (multiplicity 16)
Te  0.2500  0.2500  0.2500 (multiplicity 4)

=====

(2)
DFT (PBE) results for a geometry-optimized La2Ni12P3Rh structure.

ΔH_f (0 K): -0.011 eV/atom
spin magnetization: 0.00 Bohr magnetons per cell

Cell lengths 7.7414, 7.7414, 16.6387 Å; angles 90.00, 90.00, 120.00 degrees
Space group R-3m (No. 166, hexagonal axes)
Inequivalent atoms, fractional coordinates:
La  0.0000  0.0000  0.1159 (multiplicity 6)
Ni  0.0036  0.5018  0.8739 (multiplicity 18)
Ni  0.0423  0.5212  0.3583 (multiplicity 18)
P  0.0000  0.5000  0.0000 (multiplicity 9)
Rh  0.0000  0.0000  0.5000 (multiplicity 3)

=====

(3)
DFT (PBE) results for a geometry-optimized LiB2C2 structure.

ΔH_f (0 K): -0.070 eV/atom
spin magnetization: 0.00 Bohr magnetons per cell
energy above the most stable polymorph in this dataset: 0.000 eV per atom

Cell lengths 2.7540, 4.7653, 12.5106 Å; angles 83.59, 83.95, 89.95 degrees
Space group P-1 (No. 2)
Inequivalent atoms, fractional coordinates:
Li  0.1175  0.1590  0.2733 (multiplicity 2)
Li  0.2504  0.2502  0.9991 (multiplicity 2)
B  0.0327  0.7607  0.4328 (multiplicity 2)
B  0.1778  0.5447  0.1469 (multiplicity 2)
B  0.3190  0.9604  0.8588 (multiplicity 2)
B  0.4664  0.7323  0.5684 (multiplicity 2)
C  0.0337  0.4329  0.4304 (multiplicity 2)
C  0.1834  0.8774  0.1402 (multiplicity 2)
C  0.3194  0.6246  0.8544 (multiplicity 2)
C  0.4681  0.0681  0.5660 (multiplicity 2)